[1]
This record from the Alexandria database describes an optimized crystal structure of TbY2Pt2. The functional is PBE.

The density of states at the Fermi level is 18.0 states/eV/cell. The calculation puts the energy above the most stable polymorph in this dataset at 65 meV/atom. The formation enthalpy at 0 K comes out at -0.9834 eV per atom.

The structure belongs to space group Cmcm (No. 63); the cell edges are 3.7857, 29.8430 and 4.4841 Å and the angles 90.00°, 90.00° and 90.00°. The distinct sites, in fractional coordinates, are Tb at (0.0000, 0.1270, 0.2500), Y at (0.0000, 0.2188, 0.7500), Y at (0.0000, 0.4514, 0.2500), Pt at (0.0000, 0.0315, 0.2500) and Pt at (0.0000, 0.3530, 0.2500).

=====

[2]
This record from the Alexandria database describes an optimized crystal structure of BaPr2MnN4. The functional is PBE.

The density of states at the Fermi level is 5.4 states/eV/cell. The calculation puts the uncorrected formation energy at -899 meV per atom.

The structure belongs to space group Cmcm (No. 63); the cell edges are 3.6100, 12.5900 and 12.2135 Å and the angles 90.00°, 90.00° and 90.00°. The distinct sites, in fractional coordinates, are Ba at (0.0000, 0.0939, 0.2500), Pr at (0.0000, 0.3688, 0.0429), Mn at (0.0000, 0.1809, 0.7500), N at (0.0000, 0.0000, 0.0000), N at (0.0000, 0.2593, 0.6271) and N at (0.0000, 0.3856, 0.2500).

=====

[3]
This record from the Alexandria database describes an optimized crystal structure of NbOs3S. The functional is PBE.

The density of states at the Fermi level is 4.3 states/eV/cell. The calculation puts the uncorrected formation energy at 935 meV per atom. The calculation puts the energy above the most stable polymorph in this dataset at 0 meV/atom.

The structure belongs to space group Pm-3m (No. 221); the cell edges are 4.3462, 4.3462 and 4.3462 Å and the angles 90.00°, 90.00° and 90.00°. The distinct sites, in fractional coordinates, are Nb at (0.0000, 0.0000, 0.0000), Os at (0.0000, 0.5000, 0.5000) and S at (0.5000, 0.5000, 0.5000).

=====

| no. | ρ (kg/m³) |
| --- | --- |
| 1 | 9531 |
| 2 | 6343 |
| 3 | 14071 |